Entry 1:
RbHg5 | Alexandria via LeMat-Bulk | PBE | relaxed; symmetry = No. 216; energy relative to the elements = -0.148 eV/atom; distance to the lowest polymorph of the same formula = 0.002 eV/atom; total energy = -3.4 eV per cell
1.0
-4.210 -3.448 -3.532
-4.247 -3.927 2.938
-6.307 1.519 0.077
Hg Rb
5 1
Direct
0.624 0.624 0.624 Hg
0.250 0.250 0.250 Hg
0.127 0.624 0.624 Hg
0.624 0.624 0.127 Hg
0.624 0.127 0.624 Hg
0.000 0.000 0.000 Rb


Entry 2:
RbHg4 | Alexandria via LeMat-Bulk | PBE | relaxed; symmetry = No. 139; energy relative to the elements = -0.189 eV/atom; distance to the lowest polymorph of the same formula = 0.000 eV/atom; total energy = -3.1 eV per cell
1.0
5.623 0.000 0.000
0.000 5.623 0.000
-2.812 -2.812 5.381
Hg Rb
4 1
Direct
0.638 0.638 0.275 Hg
0.362 0.362 0.725 Hg
0.750 0.250 0.500 Hg
0.250 0.750 0.500 Hg
0.000 0.000 0.000 Rb


Entry 3:
Rb7Hg5 | Alexandria via LeMat-Bulk | PBE | relaxed; symmetry = No. 8; energy relative to the elements = -0.166 eV/atom; total energy = -10.3 eV per cell
1.0
-4.545 -7.302 1.534
-0.836 -2.826 9.036
-9.335 0.892 1.550
Rb Hg
7 5
Direct
0.325 0.000 0.412 Rb
0.738 0.588 0.000 Rb
0.899 0.000 0.000 Rb
0.738 0.000 0.588 Rb
0.913 0.500 0.500 Rb
0.413 0.500 0.500 Rb
0.325 0.412 0.000 Rb
0.956 0.235 0.235 Hg
0.191 0.765 0.234 Hg
0.425 0.766 0.766 Hg
0.191 0.234 0.765 Hg
0.371 0.001 0.001 Hg


- Which of these has the lowest total energy?
  Rb7Hg5


- Which formula does entry 1 have?
  RbHg5


- Number 2 is which compound?
  RbHg4